No. 1
Mg6VCd | PBE | optimized geometry

Cell: 5.034 6.209 10.847 Å, 90.00 90.00 90.00°
Space group Amm2 (No. 38)
Asymmetric unit:
Mg 0.000 0.000 0.000 x2
Mg 0.000 0.000 0.495 x2
Mg 0.000 0.242 0.253 x4
Mg 0.500 0.247 0.585 x4
V 0.500 0.000 0.336 x2
Cd 0.500 0.000 0.834 x2

Output
* DFT total energy: -2.34 eV per atom
* density of states at the Fermi level: 0.557 states/eV per atom


No. 2
Mg3VCd | PBE | optimized geometry

Cell: 5.272 5.272 5.272 Å, 90.00 90.00 90.00°
Space group Pm-3m (No. 221)
Asymmetric unit:
Mg 0.000 0.000 0.500 x3
V 0.000 0.000 0.000 x1
Cd 0.500 0.500 0.500 x1

Output
* DFT total energy: -2.14 eV per atom
* density of states at the Fermi level: 0.766 states/eV per atom


No. 3
MgCd2W | PBE | optimized geometry

Cell: 5.883 8.755 2.913 Å, 90.00 91.41 90.00°
Space group C2/m (No. 12)
Asymmetric unit:
Mg 0.000 0.000 0.000 x2
Cd 0.250 0.250 0.500 x4
W 0.000 0.500 0.000 x2

Output
* DFT total energy: -3.71 eV per atom
* density of states at the Fermi level: 0.266 states/eV per atom


Calculated magnetic moment in order - 6.68, 4.50, 0.00 μB/cell